[1]
This record from Alexandria via LeMat-Bulk describes a relaxed structure of HSe3I. The functional is PBE.

Lattice parameters (Å, degrees): 5.478 5.478 5.478 90.00 90.00 90.00
Space group Pm-3m (No. 221)
Inequivalent atoms, fractional coordinates:
H 0.000 0.000 0.000 [1 per cell]
Se 0.000 0.500 0.500 [3 per cell]
I 0.500 0.500 0.500 [1 per cell]

Calculated values
Crystal system ... cubic
Polymorph energy (0 for the lowest one) ... 383.8 meV per atom
Size of the total moment ... 0.96 μB per formula unit
Final energy ... -1.830 eV per atom


[2]
This record from Alexandria via LeMat-Bulk describes a relaxed structure of H2Se3I2. The functional is PBE.

Lattice parameters (Å, degrees): 3.343 7.967 8.308 112.78 99.77 91.56
Space group P-1 (No. 2)
Inequivalent atoms, fractional coordinates:
H 0.035 0.268 0.076 [2 per cell]
Se 0.000 0.500 0.000 [1 per cell]
Se 0.066 0.110 0.144 [2 per cell]
I 0.171 0.706 0.365 [2 per cell]

Calculated values
Crystal system ... triclinic
Size of the total moment ... 0.00 μB per formula unit
Final energy ... -2.789 eV per atom


[3]
This record from Alexandria via LeMat-Bulk describes a relaxed structure of H6Se3I. The functional is PBE.

Lattice parameters (Å, degrees): 12.0948 12.0948 4.9711 90.00 90.00 120.00
Space group R3m (No. 160, hexagonal axes)
Inequivalent atoms, fractional coordinates:
H 0.0668 0.5334 0.0000 [9 per cell]
H 0.1936 0.0968 0.6350 [9 per cell]
Se 0.1884 0.3768 0.5261 [9 per cell]
I 0.0000 0.0000 0.2687 [3 per cell]

Calculated values
Crystal system ... trigonal
Size of the total moment ... 0.70 μB per formula unit
Final energy ... -3.149 eV per atom


[4]
This record from Alexandria via LeMat-Bulk describes a relaxed structure of H4SeI3. The functional is PBE.

Lattice parameters (Å, degrees): 5.225 16.186 6.115 90.00 90.00 90.00
Space group Imm2 (No. 44)
Inequivalent atoms, fractional coordinates:
H 0.000 0.119 0.000 [4 per cell]
H 0.204 0.000 0.371 [4 per cell]
Se 0.000 0.000 0.197 [2 per cell]
I 0.000 0.187 0.790 [4 per cell]
I 0.000 0.500 0.236 [2 per cell]

Calculated values
Crystal system ... orthorhombic
Polymorph energy (0 for the lowest one) ... 15.2 meV per atom
Size of the total moment ... 1.06 μB per formula unit
Final energy ... -2.581 eV per atom


[5]
This record from Alexandria via LeMat-Bulk describes a relaxed structure of H4SeI3. The functional is PBE.

Lattice parameters (Å, degrees): 16.922 5.559 6.392 90.00 90.00 90.00
Space group Pmn2_1 (No. 31)
Inequivalent atoms, fractional coordinates:
H 0.000 0.065 0.000 [2 per cell]
H 0.000 0.792 0.735 [2 per cell]
H 0.241 0.446 0.390 [4 per cell]
Se 0.000 0.799 0.996 [2 per cell]
I 0.000 0.726 0.441 [2 per cell]
I 0.229 0.247 0.199 [4 per cell]

Calculated values
Crystal system ... orthorhombic
Polymorph energy (0 for the lowest one) ... 0.0 meV per atom
Size of the total moment ... 0.00 μB per formula unit
Final energy ... -2.596 eV per atom


[6]
This record from Alexandria via LeMat-Bulk describes a relaxed structure of HSeI2. The functional is PBE.

Lattice parameters (Å, degrees): 7.115 7.115 7.940 90.00 90.00 90.00
Space group I-42d (No. 122)
Inequivalent atoms, fractional coordinates:
H 0.000 0.000 0.000 [4 per cell]
Se 0.000 0.000 0.500 [4 per cell]
I 0.188 0.250 0.125 [8 per cell]

Calculated values
Crystal system ... tetragonal
Polymorph energy (0 for the lowest one) ... 614.2 meV per atom
Size of the total moment ... 0.00 μB per formula unit
Final energy ... -1.787 eV per atom


[7]
This record from Alexandria via LeMat-Bulk describes a relaxed structure of H5SeI4. The functional is PBE.

Lattice parameters (Å, degrees): 8.463 8.463 8.204 90.00 90.00 90.00
Space group I4 (No. 79)
Inequivalent atoms, fractional coordinates:
H 0.000 0.000 0.000 [2 per cell]
H 0.114 0.785 0.179 [8 per cell]
Se 0.000 0.000 0.181 [2 per cell]
I 0.103 0.290 0.670 [8 per cell]

Calculated values
Crystal system ... tetragonal
Size of the total moment ... 0.00 μB per formula unit
Final energy ... -2.539 eV per atom


[8]
This record from Alexandria via LeMat-Bulk describes a relaxed structure of HSeI2. The functional is PBE.

Lattice parameters (Å, degrees): 7.416 7.416 7.416 90.00 90.00 90.00
Space group Fm-3m (No. 225)
Inequivalent atoms, fractional coordinates:
H 0.000 0.000 0.000 [4 per cell]
Se 0.000 0.000 0.500 [4 per cell]
I 0.250 0.250 0.250 [8 per cell]

Calculated values
Crystal system ... cubic
Polymorph energy (0 for the lowest one) ... 945.2 meV per atom
Size of the total moment ... 0.05 μB per formula unit
Final energy ... -1.456 eV per atom


Q: Which value of final energy does entry 2 give?
A: -2.789 eV per atom